This record from Alexandria describes Dy9Er4Tm11 after structural relaxation. The functional is PBE-GGA.

```
data_Dy9Er4Tm11
_chemical_formula_sum 'Dy18 Er8 Tm22'
_cell_length_a 16.4428
_cell_length_b 24.8279
_cell_length_c 3.6199
_cell_angle_alpha 90.00
_cell_angle_beta 90.00
_cell_angle_gamma 90.00
_space_group_name_H-M_alt 'C m m m'
_space_group_IT_number 65
_space_group_name_Hall '-C 2 2'
loop_
_atom_site_label
_atom_site_type_symbol
_atom_site_fract_x
_atom_site_fract_y
_atom_site_fract_z
Dy1 Dy 0.0000 0.0000 0.0000
Dy2 Dy 0.1025 0.2338 0.0000
Dy3 Dy 0.1413 0.4273 0.0000
Er1 Er 0.1550 0.1010 0.0000
Tm1 Tm 0.0000 0.1330 0.5000
Tm2 Tm 0.0000 0.3403 0.5000
Tm3 Tm 0.0000 0.5000 0.5000
Tm4 Tm 0.2083 0.0000 0.5000
Tm5 Tm 0.2257 0.3190 0.5000
```

Summary:
The total energy is -4.49 eV/atom. The value obtained for the density of states at the Fermi level is 29.36 states/eV/f.u.